First-principles (PBE-GGA) data for crystalline PrTm2Tl at its relaxed geometry, as listed in Alexandria.

Structure (CIF):
```
data_PrTm2Tl
_space_group_name_H-M_alt 'C m c m'
_space_group_IT_number 63
_space_group_name_Hall '-C 2c 2'
_cell_length_a 4.6572
_cell_length_b 12.5002
_cell_length_c 8.6215
_cell_angle_alpha 90.00
_cell_angle_beta 90.00
_cell_angle_gamma 90.00
loop_
_atom_site_label
_atom_site_type_symbol
_atom_site_fract_x
_atom_site_fract_y
_atom_site_fract_z
Pr1 Pr 0.0000 0.0566 0.2500
Tm1 Tm 0.0000 0.3642 0.0515
Tl1 Tl 0.0000 0.2310 0.7500
```

Its energy of formation from the pure elements is -0.11 eV/atom. For the total DFT energy (no corrections), the calculation gives -16.519 eV per formula unit. The energy above the most stable polymorph in this dataset comes out at 62 meV per atom.